(1)
VASP calculation (PBE-GGA) on a geometry-optimized Hf2FeIrPd structure.

abc: 4.830 4.799 4.830
angles: 90.00 90.00 90.00
Element x y z (fractional)
Ir1 0.000 0.500 0.000
Hf1 0.000 0.000 0.500
Hf2 0.500 0.000 0.000
Fe1 0.500 0.500 0.500
Pd1 0.000 0.000 0.000

mass density	10.6	g/cm³
raw total energy	-7.1576	eV/atom

***

(2)
VASP calculation (PBE-GGA) on a geometry-optimized HfFe2SiIr structure.

abc: 4.589 4.849 4.589
angles: 90.00 90.00 90.00
Element x y z (fractional)
Si1 0.500 0.500 0.500
Ir1 0.000 0.500 0.000
Hf1 0.000 0.000 0.000
Fe1 0.000 0.000 0.500
Fe2 0.500 0.000 0.000

raw formation energy	1.607	eV per atom
mass density	8.3	g/cm³
raw total energy	-6.6253	eV/atom

***

(3)
VASP calculation (PBE-GGA) on a geometry-optimized SrHfFe2Ir structure.

abc: 4.798 5.005 4.798
angles: 90.00 90.00 90.00
Element x y z (fractional)
Sr1 0.500 0.500 0.500
Ir1 0.000 0.500 0.000
Hf1 0.000 0.000 0.000
Fe1 0.000 0.000 0.500
Fe2 0.500 0.000 0.000

mass density	8.2	g/cm³
raw total energy	-6.7140	eV/atom

***

(4)
VASP calculation (PBE-GGA) on a geometry-optimized HfTl2FeIr structure.

abc: 4.865 4.865 4.567
angles: 90.00 90.00 90.00
Element x y z (fractional)
Tl1 0.000 0.500 0.000
Tl2 0.500 0.000 0.000
Ir1 0.000 0.000 0.500
Hf1 0.500 0.500 0.500
Fe1 0.000 0.000 0.000

mass density	12.8	g/cm³
raw total energy	-5.4676	eV/atom

***

(5)
VASP calculation (PBE-GGA) on a geometry-optimized YHf2FeIr structure.

abc: 5.054 4.798 5.054
angles: 90.00 90.00 90.00
Element x y z (fractional)
Y1 0.000 0.000 0.000
Ir1 0.000 0.500 0.000
Hf1 0.000 0.000 0.500
Hf2 0.500 0.000 0.000
Fe1 0.500 0.500 0.500

mass density	9.4	g/cm³
raw total energy	-6.5954	eV/atom

***

(6)
VASP calculation (PBE-GGA) on a geometry-optimized KHf3Fe structure.

abc: 4.962 4.962 4.962
angles: 90.00 90.00 90.00
Element x y z (fractional)
K1 0.500 0.500 0.500
Hf1 0.000 0.500 0.000
Hf2 0.000 0.000 0.500
Hf3 0.500 0.000 0.000
Fe1 0.000 0.000 0.000

mass density	8.6	g/cm³
raw total energy	-7.2780	eV/atom
E above lowest polymorph	0	meV/atom

***

(7)
VASP calculation (PBE-GGA) on a geometry-optimized KHf2Fe structure.

abc: 4.809 4.809 4.809
angles: 60.00 60.00 60.00
Element x y z (fractional)
K1 0.000 0.000 0.000
Hf1 0.250 0.250 0.250
Hf2 0.750 0.750 0.750
Fe1 0.500 0.500 0.500

mass density	9.5	g/cm³
raw total energy	-6.3375	eV/atom
E above lowest polymorph	0	meV/atom

***

(8)
VASP calculation (PBE-GGA) on a geometry-optimized KHfFe3 structure.

abc: 4.420 4.420 4.420
angles: 90.00 90.00 90.00
Element x y z (fractional)
K1 0.000 0.000 0.000
Hf1 0.500 0.500 0.500
Fe1 0.000 0.500 0.000
Fe2 0.000 0.000 0.500
Fe3 0.500 0.000 0.000

mass density	7.4	g/cm³
raw total energy	-5.1267	eV/atom
E above lowest polymorph	782	meV/atom

***

(9)
VASP calculation (PBE-GGA) on a geometry-optimized KHf3Fe structure.

abc: 4.732 4.732 4.732
angles: 90.00 90.00 90.00
Element x y z (fractional)
K1 0.000 0.000 0.000
Hf1 0.000 0.500 0.000
Hf2 0.000 0.000 0.500
Hf3 0.500 0.000 0.000
Fe1 0.500 0.500 0.500

mass density	9.9	g/cm³
raw total energy	-5.3047	eV/atom
E above lowest polymorph	1973	meV/atom

***

(10)
VASP calculation (PBE-GGA) on a geometry-optimized KHf2Fe structure.

abc: 7.267 7.267 7.477
angles: 60.93 60.93 90.00
Element x y z (fractional)
K1 0.500 0.500 0.000
K2 0.250 0.750 0.500
Hf1 0.875 0.125 0.250
Hf2 0.875 0.625 0.250
Hf3 0.375 0.125 0.750
Hf4 0.875 0.125 0.750
Fe1 0.000 0.000 0.000
Fe2 0.750 0.250 0.500

mass density	5.2	g/cm³
raw total energy	-6.2207	eV/atom
E above lowest polymorph	117	meV/atom

***

(11)
VASP calculation (PBE-GGA) on a geometry-optimized K3HfFe structure.

abc: 6.270 6.270 6.270
angles: 90.00 90.00 90.00
Element x y z (fractional)
K1 0.000 0.500 0.000
K2 0.000 0.000 0.500
K3 0.500 0.000 0.000
Hf1 0.500 0.500 0.500
Fe1 0.000 0.000 0.000

mass density	2.4	g/cm³
raw total energy	-2.6809	eV/atom

***

(12)
VASP calculation (PBE-GGA) on a geometry-optimized KHfFe3 structure.

abc: 4.905 4.905 4.905
angles: 90.00 90.00 90.00
Element x y z (fractional)
K1 0.500 0.500 0.500
Hf1 0.000 0.000 0.000
Fe1 0.000 0.500 0.000
Fe2 0.000 0.000 0.500
Fe3 0.500 0.000 0.000

mass density	5.4	g/cm³
raw total energy	-5.9083	eV/atom
E above lowest polymorph	0	meV/atom